No. 1
! SCAN Rb2NaAu, single point on PBEsol structure; values from VASP
&SYSTEM
  ibrav = 0, nat = 8, ntyp = 3
/
ATOMIC_SPECIES
Rb 85.47 Rb.upf
Na 22.99 Na.upf
Au 196.97 Au.upf
CELL_PARAMETERS angstrom
-6.086 6.086 2.883
6.086 -6.086 2.883
6.086 6.086 -2.883
ATOMIC_POSITIONS angstrom
Rb -1.216 3.043 0.721
Rb 3.043 4.870 2.162
Rb 1.216 9.129 0.721
Rb -3.043 7.302 2.162
Na 6.086 0.000 1.441
Na 0.000 0.000 2.883
Au 0.000 0.000 0.000
Au 0.000 6.086 1.441
! Calculated density ... 3.040 Mg/m³
! N(E_F) ... 2.34 states/eV per cell
! Calculated volume ... 53.4 A^3/atom
! E ... -230.9 eV per cell
! Energy relative to the lowest polymorph listed for this composition ... 0.0 meV per atom
! Calculated formation energy ... -0.15 eV/atom

=====

No. 2
! SCAN GaNiSe3, single point on PBEsol structure; values from VASP
&SYSTEM
  ibrav = 0, nat = 5, ntyp = 3
/
ATOMIC_SPECIES
Ga 69.72 Ga.upf
Ni 58.69 Ni.upf
Se 78.96 Se.upf
CELL_PARAMETERS angstrom
4.678 0.000 0.000
0.000 4.678 0.000
0.000 0.000 4.678
ATOMIC_POSITIONS angstrom
Ga 0.000 0.000 0.000
Ni 2.339 2.339 2.339
Se 0.000 2.339 2.339
Se 2.339 0.000 2.339
Se 2.339 2.339 0.000
! Calculated density ... 5.926 Mg/m³
! N(E_F) ... 6.43 states/eV per cell
! Calculated volume ... 20.5 A^3/atom
! E ... -91.3 eV per cell
! Formation energy from raw total energies ... 29 kJ/mol of atoms

=====

No. 3
! SCAN MnHg2Te, single point on PBEsol structure; values from VASP
&SYSTEM
  ibrav = 0, nat = 4, ntyp = 3
/
ATOMIC_SPECIES
Mn 54.94 Mn.upf
Hg 200.59 Hg.upf
Te 127.60 Te.upf
CELL_PARAMETERS angstrom
2.845 -2.938 0.000
2.845 2.938 0.000
0.000 0.000 5.593
ATOMIC_POSITIONS angstrom
Mn 0.000 0.000 0.000
Hg 2.845 1.514 2.797
Hg 2.845 -1.514 2.797
Te 2.845 0.000 0.000
! Calculated density ... 10.368 Mg/m³
! N(E_F) ... 1.45 states/eV per cell
! Calculated volume ... 23.4 A^3/atom
! E ... -192.1 eV per cell
! Formation energy from raw total energies ... -6 kJ/mol of atoms

=====

Q: Which value of calculated volume does entry 1 give?
A: 53.4 A^3/atom